First-principles (PBE) data for crystalline ErMg2Sb at its relaxed geometry, as listed in Alexandria.

Geometry as extended XYZ:
```
4
Lattice="-1.939 -1.874 4.031 4.059 -0.326 1.801 -0.425 4.094 1.698" Properties=species:S:1:pos:R:3 pbc="T T T"
Sb 0.847 0.947 3.765
Mg -0.212 2.047 0.849
Mg 2.029 -0.163 0.900
Er -0.969 -0.937 2.015
```

Calculated volume = 96.1 Å³ per cell
Energy = -13.55 eV for the cell shown
Raw formation energy = -0.419 eV per atom